HfThHg: relaxed, PBE.

SG ... P-6m2 (187)
Energy above the most stable polymorph in this dataset ... 0.474 eV/f.u.
DOS at the Fermi energy ... 5.3 states/eV/cell
Crystal system ... hexagonal
E_tot ... -5.770 eV per atom

a b c (Å): 3.430 5.139 5.139
angles (deg): 120.00 90.00 90.00
Atoms (fractional coordinates):
Hg  0.166  0.000  0.000
Th  0.667  0.667  0.333
Hf  0.167  0.333  0.667